No. 1
The following is a meta-GGA SCAN calculation of a crystal of CoCl2 relaxed with PBEsol, from Alexandria.

```
CoCl2
1.0
3.3065 0.0000 0.0000
1.6533 6.2932 -0.3156
1.6533 0.9664 6.4917
Cl Co
4 2
Direct
0.2024 0.2442 0.3510
0.5843 0.7035 0.1279
0.4157 0.2965 0.8721
0.7976 0.7558 0.6490
0.2365 0.6522 0.8747
0.7635 0.3478 0.1253
```

calculated volume = 136.09 Å³ per cell
uncorrected formation energy = -1.999 eV per formula unit
crystal system = monoclinic
calculated density = 3.2 g/cm3
final energy = -11.75 eV/atom

No. 2
The following is a meta-GGA SCAN calculation of a crystal of CoCl2 relaxed with PBEsol, from Alexandria.

```
CoCl2
1.0
3.4064 0.0000 0.0000
1.7032 2.9500 0.0000
1.7032 0.9833 6.0651
Cl Co
2 1
Direct
0.7405 0.7405 0.7786
0.2595 0.2595 0.2214
0.0000 0.0000 0.0000
```

calculated volume = 60.95 Å³ per cell
uncorrected formation energy = -2.215 eV per formula unit
crystal system = trigonal
calculated density = 3.5 g/cm3
final energy = -11.83 eV/atom
DOS(E_F) = 1.35 states/eV/atom

- The highest calculated density belongs to which entry?
  number 2

- Which formula does entry 2 have?
  CoCl2

Repeat the second record exactly.
The following is a meta-GGA SCAN calculation of a crystal of CoCl2 relaxed with PBEsol, from Alexandria.

```
CoCl2
1.0
3.4064 0.0000 0.0000
1.7032 2.9500 0.0000
1.7032 0.9833 6.0651
Cl Co
2 1
Direct
0.7405 0.7405 0.7786
0.2595 0.2595 0.2214
0.0000 0.0000 0.0000
```

calculated volume = 60.95 Å³ per cell
uncorrected formation energy = -2.215 eV per formula unit
crystal system = trigonal
calculated density = 3.5 g/cm3
final energy = -11.83 eV/atom
DOS(E_F) = 1.35 states/eV/atom